InHg4I, optimized geometry, DFT PBE-GGA; N(E_F) = 1.02 states/eV/cell; energy above the lowest structure with this stoichiometry = 6.29 kJ per mole of atoms; uncorrected energy = -5.79 eV/cell; space group = F-43m (216)
1.0
6.5195 0.0000 0.0000
3.2597 5.6460 0.0000
3.2597 1.8820 5.3231
Hg In I
4 1 1
direct
0.6253 0.6253 0.6253
0.6253 0.6253 0.1240
0.1240 0.6253 0.6253
0.6253 0.1240 0.6253
0.2500 0.2500 0.2500
0.0000 0.0000 0.0000